DFT (GGA-PBEsol) results for a geometry-optimized KLa3Te structure.

Formation energy without anion corrections (kJ/mol of atoms): 63.4
Total DFT energy (no corrections) (eV/f.u.): -17.41
Crystal system: cubic
Mass density (g/cm3): 6.2

a = 5.376 Å, b = 5.376 Å, c = 5.376 Å
α = 90.00°, β = 90.00°, γ = 90.00°
Atoms (fractional coordinates):
K  0.000  0.000  0.000
Te  0.500  0.500  0.500
La  0.000  0.500  0.000
La  0.000  0.000  0.500
La  0.500  0.000  0.000